# 1
The following is a DFT calculation (PBE) of an optimized crystal structure of Zr2GaTe2.

The structure in POSCAR format:
```
Zr2GaTe2
1.0
-2.1756 2.1756 7.4694
2.1756 -2.1756 7.4694
2.1756 2.1756 -7.4694
Ga Te Zr
1 2 2
Direct
0.0000 0.0000 0.0000
0.3827 0.3827 0.0000
0.6173 0.6173 0.0000
0.7500 0.2500 0.5000
0.2500 0.7500 0.5000
```

- E: -27.98 eV/cell
- Total magnetization: 0.012 Bohr magnetons per cell
- Space-group type: I4/mmm
- Calculated volume: 28.3 Å³ per atom

***

# 2
The following is a DFT calculation (PBE) of an optimized crystal structure of RbDyGe.

The structure in POSCAR format:
```
RbDyGe
1.0
0.0000 3.7563 3.7563
3.7563 0.0000 3.7563
3.7563 3.7563 0.0000
Dy Ge Rb
1 1 1
Direct
0.2500 0.2500 0.2500
0.0000 0.0000 0.0000
0.7500 0.7500 0.7500
```

- Total magnetization: 0.001 Bohr magnetons per cell
- Space-group type: F-43m
- Calculated volume: 35.3 Å³ per atom
- Energy above the lowest structure with this stoichiometry: 0.0 meV per atom